Material: ScAg3
Method: DFT, PBEsol
State: optimized geometry

abc: 4.8021 4.9983 5.8134
angles: 90.00 90.00 90.00
Fractional positions:
Ag  0.5000  0.3321  0.0000
Ag  0.0000  0.1616  0.7473
Ag  0.5000  0.8384  0.7527
Ag  0.0000  0.6679  0.5000
Ag  0.0000  0.1616  0.2527
Ag  0.5000  0.8384  0.2473
Sc  0.0000  0.6547  0.0000
Sc  0.5000  0.3453  0.5000

Computed properties:
* raw total energy: -4.39 eV/atom
* total magnetic moment: 0.00 μB per formula unit
* space-group type: No. 59
* E_form: -253 meV/atom